A plane-wave DFT calculation with PBE was carried out for a relaxed CaBi2P2 crystal. Values from VASP.

```
&SYSTEM
  ibrav = 0, nat = 10, ntyp = 3
/
ATOMIC_SPECIES
Ca 40.08 Ca.upf
Bi 208.98 Bi.upf
P 30.97 P.upf
ATOMIC_POSITIONS angstrom
Ca 0.000 0.000 0.000
Ca 2.741 2.741 4.818
Bi 0.000 0.000 3.225
Bi 0.000 0.000 6.412
Bi 2.741 2.741 1.594
Bi 2.741 2.741 8.043
P 0.000 2.741 2.409
P 0.000 2.741 7.227
P 2.741 0.000 2.409
P 2.741 0.000 7.227
CELL_PARAMETERS angstrom
5.482 0.000 0.000
0.000 5.482 0.000
0.000 0.000 9.636
```

Summary:
Crystal system = tetragonal
E above lowest polymorph = 141.7 meV/atom
Calculated volume = 29.0 Å³/atom
Total energy = -41.54 eV per cell